Entry 1:
Computed, not measured: an optimized crystal structure of Tb8PSe6 at the PBE level of DFT.

a b c (Å): 10.2928 10.2928 4.1365
angles (deg): 90.00 90.00 120.00
With the nearest neighbours (Å) after each atom.
Atoms (fractional coordinates):
Tb1 0.0284 0.3007 0.2381  3 Se 2.79-2.87, 1 P 3.12
Tb2 0.2724 0.9716 0.2381  3 Se 2.79-2.87, 1 P 3.12
Tb3 0.3007 0.2724 0.7619  3 Se 2.79-2.87, 1 P 3.12
Tb4 0.3333 0.6667 0.7551  6 Se 2.90
Tb5 0.6667 0.3333 0.2449  6 Se 2.90
Tb6 0.6993 0.7276 0.2381  3 Se 2.79-2.87, 1 P 3.12
Tb7 0.7276 0.0284 0.7619  3 Se 2.79-2.87, 1 P 3.12
Tb8 0.9716 0.6993 0.7619  3 Se 2.79-2.87, 1 P 3.12
P1 0.0000 0.0000 0.0000  6 Tb 3.12
Se1 0.1276 0.6500 0.2547  5 Tb 2.79-2.90
Se2 0.3500 0.4775 0.2547  5 Tb 2.79-2.90
Se3 0.4775 0.1276 0.7453  5 Tb 2.79-2.90
Se4 0.5225 0.8724 0.2547  5 Tb 2.79-2.90
Se5 0.6500 0.5225 0.7453  5 Tb 2.79-2.90
Se6 0.8724 0.3500 0.7453  5 Tb 2.79-2.90

Calculated values
Space group ... P-3
Total magnetic moment ... 0.000 μB per atom
D(E_F) ... 0.596 states/eV/atom
Formation energy from raw total energies ... -1312 meV per atom
Calculated density ... 7.8 g/cm3



Entry 2:
Computed, not measured: an optimized crystal structure of Tb2PSe at the PBE level of DFT.

a b c (Å): 7.1263 7.1263 7.1263
angles (deg): 32.93 32.93 32.93
With the nearest neighbours (Å) after each atom.
Atoms (fractional coordinates):
Tb1 0.2428 0.2428 0.2428  3 P 2.79, 3 Se 2.96
Tb2 0.7572 0.7572 0.7572  3 P 2.79, 3 Se 2.96
P1 0.5000 0.5000 0.5000  6 Tb 2.79
Se1 0.0000 0.0000 0.0000  6 Tb 2.96

Calculated values
Space group ... R-3m
Total magnetic moment ... 0.000 μB per atom
D(E_F) ... 0.361 states/eV/atom
Formation energy from raw total energies ... -1792 meV per atom
Calculated density ... 7.5 g/cm3



no.,total energy (eV/atom)
1,-5.54
2,-6.33